LiCuF4: optimized geometry, GGA-PBEsol.

Lattice parameters (Å, degrees): 4.8986 7.0920 7.2068 101.06 90.00 90.00
With the nearest neighbours (Å) after each atom.
Positions (direct):
1 F 0.4195 0.3063 0.9058  1 Cu 1.86, 2 Li 1.93
2 F 0.4099 0.5589 0.6824  2 Cu 1.94, 1 Li 2.10
3 F 0.9195 0.1937 0.0942  1 Cu 1.86, 2 Li 1.93
4 F 0.4305 0.0961 0.1948  1 Cu 1.85, 2 Li 1.96-2.05
5 F 0.9305 0.4039 0.8052  1 Cu 1.85, 2 Li 1.96-2.05
6 F 0.5729 0.1902 0.5611  2 Cu 1.91-1.93
7 F 0.5901 0.4411 0.3176  2 Cu 1.94, 1 Li 2.10
8 F 0.9099 0.9411 0.3176  2 Cu 1.94, 1 Li 2.10
9 F 0.0695 0.5961 0.1948  1 Cu 1.85, 2 Li 1.96-2.05
10 F 0.0805 0.8063 0.9058  1 Cu 1.86, 2 Li 1.93
11 F 0.0729 0.3098 0.4389  2 Cu 1.91-1.93
12 F 0.9271 0.6902 0.5611  2 Cu 1.91-1.93
13 F 0.5805 0.6937 0.0942  1 Cu 1.86, 2 Li 1.93
14 F 0.4271 0.8098 0.4389  2 Cu 1.91-1.93
15 F 0.0901 0.0589 0.6824  2 Cu 1.94, 1 Li 2.10
16 F 0.5695 0.9039 0.8052  1 Cu 1.85, 2 Li 1.96-2.05
17 Cu 0.2550 0.8097 0.6768  6 F 1.85-1.94
18 Cu 0.7450 0.1903 0.3232  6 F 1.85-1.94
19 Cu 0.7550 0.6902 0.3232  6 F 1.85-1.94
20 Cu 0.2450 0.3098 0.6768  6 F 1.85-1.94
21 Li 0.7525 0.6555 0.8491  5 F 1.93-2.10
22 Li 0.2525 0.8445 0.1509  5 F 1.93-2.10
23 Li 0.2475 0.3445 0.1509  5 F 1.93-2.10
24 Li 0.7475 0.1555 0.8491  5 F 1.93-2.10

Summary:
Total magnetic moment = 6.99 Bohr magnetons per cell
ΔE_f (raw) = -1.891 eV/atom
Volume = 10.24 Å³/atom
Calculated total energy = -4.23 eV/atom



Y2SiICl: optimized geometry, GGA-PBEsol.

Lattice parameters (Å, degrees): 5.1133 5.6171 5.6171 90.00 90.00 90.00
With the nearest neighbours (Å) after each atom.
Positions (direct):
1 I 0.0000 0.0000 0.0000  2 Si 2.56, 4 Y 2.81
2 Y 0.0000 0.5000 0.0000  2 I 2.81
3 Y 0.0000 0.0000 0.5000  2 I 2.81
4 Cl 0.5000 0.5000 0.5000  8 Y 3.80, 4 Si 3.97
5 Si 0.5000 0.0000 0.0000  2 I 2.56

Summary:
Total magnetic moment = 0.01 Bohr magnetons per cell
ΔE_f (raw) = 0.402 eV/atom
Volume = 32.27 Å³/atom
Calculated total energy = -4.23 eV/atom



LiAlGeO4: optimized geometry, GGA-PBEsol.

Lattice parameters (Å, degrees): 8.5352 8.5352 8.5352 107.86 107.86 107.86
With the nearest neighbours (Å) after each atom.
Positions (direct):
1 O 0.6197 0.6728 0.9539  1 Ge 1.76, 1 Al 1.78, 1 Li 1.97
2 O 0.9132 0.2527 0.5873  1 Ge 1.75, 1 Al 1.77, 1 Li 1.93
3 O 0.3787 0.3254 0.0454  1 Ge 1.77, 1 Al 1.77, 1 Li 1.96
4 O 0.0304 0.7181 0.0498  1 Ge 1.75, 1 Al 1.77
5 O 0.6728 0.9539 0.6197  1 Ge 1.76, 1 Al 1.78, 1 Li 1.97
6 O 0.0498 0.0304 0.7181  1 Ge 1.75, 1 Al 1.77
7 O 0.6627 0.3556 0.6875  1 Al 1.75, 1 Ge 1.76, 1 Li 1.94
8 O 0.9539 0.6197 0.6728  1 Ge 1.76, 1 Al 1.78, 1 Li 1.97
9 O 0.7469 0.4111 0.0869  1 Ge 1.76, 1 Al 1.76, 1 Li 1.93
10 O 0.6458 0.3123 0.3389  1 Ge 1.75, 1 Al 1.77, 1 Li 1.95
11 O 0.3254 0.0454 0.3787  1 Ge 1.77, 1 Al 1.77, 1 Li 1.96
12 O 0.6875 0.6627 0.3556  1 Al 1.75, 1 Ge 1.76, 1 Li 1.94
13 O 0.4111 0.0869 0.7469  1 Ge 1.76, 1 Al 1.76, 1 Li 1.93
14 O 0.3123 0.3389 0.6458  1 Ge 1.75, 1 Al 1.77, 1 Li 1.95
15 O 0.2826 0.9517 0.9696  1 Ge 1.76, 1 Al 1.76, 1 Li 1.96
16 O 0.3389 0.6458 0.3123  1 Ge 1.75, 1 Al 1.77, 1 Li 1.95
17 O 0.0454 0.3787 0.3254  1 Ge 1.77, 1 Al 1.77, 1 Li 1.96
18 O 0.3556 0.6875 0.6627  1 Al 1.75, 1 Ge 1.76, 1 Li 1.94
19 O 0.0869 0.7469 0.4111  1 Ge 1.76, 1 Al 1.76, 1 Li 1.93
20 O 0.7181 0.0498 0.0304  1 Ge 1.75, 1 Al 1.77
21 O 0.5873 0.9132 0.2527  1 Ge 1.75, 1 Al 1.77, 1 Li 1.93
22 O 0.9696 0.2826 0.9517  1 Ge 1.76, 1 Al 1.76, 1 Li 1.96
23 O 0.2527 0.5873 0.9132  1 Ge 1.75, 1 Al 1.77, 1 Li 1.93
24 O 0.9517 0.9696 0.2826  1 Ge 1.76, 1 Al 1.76, 1 Li 1.96
25 Li 0.4580 0.0605 0.2280  4 O 1.93-1.96
26 Li 0.9391 0.7716 0.5405  4 O 1.93-1.97
27 Li 0.5405 0.9391 0.7716  4 O 1.93-1.97
28 Li 0.0605 0.2280 0.4580  4 O 1.93-1.96
29 Li 0.2280 0.4580 0.0605  4 O 1.93-1.96
30 Li 0.7716 0.5405 0.9391  4 O 1.93-1.97
31 Ge 0.2783 0.1013 0.8674  4 O 1.75-1.77
32 Ge 0.5674 0.7952 0.3867  4 O 1.75-1.76
33 Ge 0.3867 0.5674 0.7952  4 O 1.75-1.76
34 Ge 0.1013 0.8674 0.2783  4 O 1.75-1.77
35 Ge 0.8674 0.2783 0.1013  4 O 1.75-1.77
36 Ge 0.7952 0.3867 0.5674  4 O 1.75-1.76
37 Al 0.4331 0.2062 0.6129  4 O 1.75-1.77
38 Al 0.1328 0.7226 0.8990  4 O 1.76-1.78
39 Al 0.7226 0.8990 0.1328  4 O 1.76-1.78
40 Al 0.2062 0.6129 0.4331  4 O 1.75-1.77
41 Al 0.6129 0.4331 0.2062  4 O 1.75-1.77
42 Al 0.8990 0.1328 0.7226  4 O 1.76-1.78

Summary:
Total magnetic moment = 0.00 Bohr magnetons per cell
ΔE_f (raw) = -2.326 eV/atom
E above lowest polymorph = 0 meV/atom
Volume = 12.03 Å³/atom
Calculated total energy = -6.90 eV/atom



LaCr2Ru: optimized geometry, GGA-PBEsol.

Lattice parameters (Å, degrees): 2.8091 2.8091 8.6837 90.00 90.00 115.18
With the nearest neighbours (Å) after each atom.
Positions (direct):
1 Ru 0.5000 0.5000 0.2121  2 Cr 2.47
2 La 0.0000 0.0000 0.5003  6 La 2.81-3.01, 2 Ru 2.92, 2 Cr 3.02
3 Cr 0.0000 0.0000 0.9862  2 Cr 2.20
4 Cr 0.5000 0.5000 0.8014  2 Cr 2.20

Summary:
Total magnetic moment = 0.00 Bohr magnetons per cell
Formation energy = 585 meV/atom
E above lowest polymorph = 0 meV/atom
Volume = 15.50 Å³/atom
Calculated total energy = -8.42 eV/atom